(1)
A relaxed MgFeSiAu crystal. Source: OQMD, functional PBE.

Cell lengths 4.3535, 4.3535, 4.3535 Å; angles 60.00, 60.00, 60.00 degrees
Closest atoms and distances in Å follow each position.
Atoms (fractional coordinates):
Mg: 0.5000 0.5000 0.5000  4 Fe 2.67, 4 Au 2.67
Si: 0.0000 0.0000 0.0000  4 Fe 2.67, 4 Au 2.67
Au: 0.2500 0.2500 0.2500  4 Mg 2.67, 4 Si 2.67
Fe: 0.7500 0.7500 0.7500  4 Mg 2.67, 4 Si 2.67

Values from the calculation:
Its space group is F-43m (216). The volume comes out at 58 Å³ per cell. The value obtained for the polymorph energy (0 for the lowest one) is 0.000 eV per formula unit. The value obtained for the total magnetization is 1.85 μB/cell.

=====

(2)
A relaxed ErAlCu crystal. Source: OQMD, functional PBE.

Cell lengths 8.0902, 8.0902, 3.0657 Å; angles 90.00, 90.00, 120.00 degrees
Closest atoms and distances in Å follow each position.
Atoms (fractional coordinates):
Al: 0.0000 0.0000 0.5000  6 Er 2.85, 3 Cu 2.94, 2 Al 3.07
Cu: 0.3630 0.3630 0.5000  5 Al 2.94-3.01, 2 Cu 3.07, 6 Er 3.11-3.14
Er: 0.7024 0.7024 0.0000  4 Al 2.85, 2 Er 3.07, 6 Cu 3.11-3.14
Cu: 0.6369 0.0000 0.5000  5 Al 2.94-3.01, 2 Cu 3.07, 6 Er 3.11-3.14
Er: 0.0000 0.2976 0.0000  4 Al 2.85, 2 Er 3.07, 6 Cu 3.11-3.14
Al: 0.6667 0.3333 0.0000  3 Er 2.85, 6 Cu 3.01, 2 Al 3.07
Cu: 0.0000 0.6370 0.5000  5 Al 2.94-3.01, 2 Cu 3.07, 6 Er 3.11-3.14
Er: 0.2976 0.0000 0.0000  4 Al 2.85, 2 Er 3.07, 6 Cu 3.11-3.14
Al: 0.3333 0.6667 0.0000  3 Er 2.85, 6 Cu 3.01, 2 Al 3.07

Values from the calculation:
Its space group is P-62m (189). The volume comes out at 174 Å³ per cell. The value obtained for the total magnetization is 0.01 μB/cell.

=====

(3)
A relaxed GaCuPdW crystal. Source: OQMD, functional PBE.

Cell lengths 4.3699, 4.3699, 4.3699 Å; angles 60.00, 60.00, 60.00 degrees
Closest atoms and distances in Å follow each position.
Atoms (fractional coordinates):
Pd: 0.5000 0.5000 0.5000  4 Cu 2.68, 4 W 2.68
W: 0.2500 0.2500 0.2500  4 Ga 2.68, 4 Pd 2.68
Ga: 0.0000 0.0000 0.0000  4 W 2.68, 4 Cu 2.68
Cu: 0.7500 0.7500 0.7500  4 Pd 2.68, 4 Ga 2.68

Values from the calculation:
Its space group is F-43m (216). The volume comes out at 59 Å³ per cell. The value obtained for the polymorph energy (0 for the lowest one) is 0.000 eV per formula unit. The value obtained for the total magnetization is 0.64 μB/cell.

=====

Number 1: total DFT energy (no corrections) -18.6 eV for the cell shown. Number 2: total DFT energy (no corrections) -35.9 eV for the cell shown. Number 3: total DFT energy (no corrections) -24.0 eV for the cell shown.